Here is crystalline CsNi2Te3 at its relaxed geometry from OQMD. Energies are from GGA-PBE.

Computed properties:
M_tot: 0.0 μB per cell
Electronic total energy: -3.890 eV/atom

a = 8.2210 Å, b = 8.2210 Å, c = 11.1739 Å
α = 90.00°, β = 90.00°, γ = 151.75°
Closest atoms and distances in Å follow each position.
Atoms (fractional coordinates):
Cs 0.2420 0.7580 0.7500  2 Ni 3.73, 8 Te 3.90-3.99, 2 Cs 4.01
Cs 0.7580 0.2420 0.2500  2 Ni 3.73, 8 Te 3.90-3.99, 2 Cs 4.01
Ni 0.0608 0.9392 0.2500  4 Te 2.45-2.48
Ni 0.5000 0.5000 0.0000  6 Te 2.61-2.83
Ni 0.5000 0.5000 0.5000  6 Te 2.61-2.83
Ni 0.9392 0.0608 0.7500  4 Te 2.45-2.48
Te 0.1020 0.8980 0.0361  3 Ni 2.48-2.61
Te 0.1020 0.8980 0.4639  3 Ni 2.48-2.61
Te 0.4723 0.5277 0.2500  2 Ni 2.45
Te 0.5277 0.4723 0.7500  2 Ni 2.45
Te 0.8980 0.1020 0.5361  3 Ni 2.48-2.61
Te 0.8980 0.1020 0.9639  3 Ni 2.48-2.61



Here is crystalline CsYNiTe3 at its relaxed geometry from OQMD. Energies are from GGA-PBE.

Computed properties:
M_tot: 2.5 μB per cell
Electronic total energy: -4.551 eV/atom

a = 11.1640 Å, b = 4.4040 Å, c = 16.2369 Å
α = 90.00°, β = 90.00°, γ = 90.00°
Closest atoms and distances in Å follow each position.
Atoms (fractional coordinates):
Cs 0.0351 0.2500 0.1626  8 Te 3.68-3.89
Cs 0.4649 0.7500 0.6626  8 Te 3.68-3.89
Cs 0.5351 0.2500 0.3374  8 Te 3.68-3.89
Cs 0.9649 0.7500 0.8374  8 Te 3.68-3.89
Y 0.1439 0.7500 0.4402  6 Te 3.02-3.15
Y 0.3561 0.2500 0.9402  6 Te 3.02-3.15
Y 0.6439 0.7500 0.0598  6 Te 3.02-3.15
Y 0.8561 0.2500 0.5598  6 Te 3.02-3.15
Ni 0.1538 0.2500 0.6302  4 Te 2.51-2.57
Ni 0.3462 0.7500 0.1302  4 Te 2.51-2.57
Ni 0.6538 0.2500 0.8698  4 Te 2.51-2.57
Ni 0.8462 0.7500 0.3698  4 Te 2.51-2.57
Te 0.0404 0.7500 0.6165  2 Ni 2.55
Te 0.1997 0.7500 0.0083  1 Ni 2.57
Te 0.2363 0.2500 0.7737  1 Ni 2.51
Te 0.2637 0.7500 0.2737  1 Ni 2.51
Te 0.3003 0.2500 0.5083  1 Ni 2.57
Te 0.4596 0.2500 0.1165  2 Ni 2.55
Te 0.5404 0.7500 0.8835  2 Ni 2.55
Te 0.6997 0.7500 0.4917  1 Ni 2.57
Te 0.7363 0.2500 0.7263  1 Ni 2.51
Te 0.7637 0.7500 0.2263  1 Ni 2.51
Te 0.8003 0.2500 0.9917  1 Ni 2.57
Te 0.9596 0.2500 0.3835  2 Ni 2.55



Here is crystalline CsYNiTe3 at its relaxed geometry from OQMD. Energies are from GGA-PBE.

Computed properties:
M_tot: 5.6 μB per cell
Electronic total energy: -4.624 eV/atom

a = 11.4797 Å, b = 4.2852 Å, c = 17.0862 Å
α = 90.00°, β = 90.00°, γ = 90.00°
Closest atoms and distances in Å follow each position.
Atoms (fractional coordinates):
Cs 0.2479 0.2500 0.0101  8 Te 3.83-4.20, 2 Cs 4.29
Cs 0.2521 0.7500 0.5101  8 Te 3.83-4.20, 2 Cs 4.29
Cs 0.7479 0.2500 0.4899  8 Te 3.83-4.20, 2 Cs 4.29
Cs 0.7521 0.7500 0.9899  8 Te 3.83-4.20, 2 Cs 4.29
Y 0.0008 0.7500 0.2510  6 Te 3.01-3.07
Y 0.4992 0.2500 0.7510  6 Te 3.01-3.07
Y 0.5008 0.7500 0.2490  6 Te 3.01-3.07
Y 0.9992 0.2500 0.7490  6 Te 3.01-3.07
Ni 0.2499 0.2500 0.2827  4 Te 2.58-2.60
Ni 0.2501 0.7500 0.7827  4 Te 2.58-2.60
Ni 0.7499 0.2500 0.2173  4 Te 2.58-2.60
Ni 0.7501 0.7500 0.7173  4 Te 2.58-2.60
Te 0.0668 0.7500 0.8696  1 Ni 2.58
Te 0.0683 0.2500 0.3714  1 Ni 2.58
Te 0.2497 0.2500 0.6963  2 Ni 2.60
Te 0.2503 0.7500 0.1963  2 Ni 2.60
Te 0.4317 0.7500 0.8714  1 Ni 2.58
Te 0.4332 0.2500 0.3696  1 Ni 2.58
Te 0.5668 0.7500 0.6304  1 Ni 2.58
Te 0.5683 0.2500 0.1286  1 Ni 2.58
Te 0.7497 0.2500 0.8037  2 Ni 2.60
Te 0.7503 0.7500 0.3037  2 Ni 2.60
Te 0.9317 0.7500 0.6286  1 Ni 2.58
Te 0.9332 0.2500 0.1304  1 Ni 2.58